Material: K3Pu2CoO9
Method: DFT, PBE with a Hubbard U
State: optimized geometry

Geometry as extended XYZ:
```
15
Lattice="5.8775 0.0000 0.0000 -2.9387 5.0900 0.0000 0.0000 0.0000 7.2329" Properties=species:S:1:pos:R:3 pbc="T T T"
K 0.0000 0.0000 0.0000
K 0.0000 3.3934 4.7568
K 2.9387 1.6967 2.4761
Pu 0.0000 3.3934 1.2732
Pu 2.9387 1.6967 5.9597
Co 0.0000 0.0000 3.6164
O -1.4694 2.5450 0.0000
O 0.0000 1.7399 2.3866
O -1.4320 4.2201 2.3866
O 1.5068 0.8699 4.8463
O 2.9387 0.0000 0.0000
O 1.4694 2.5450 0.0000
O 1.4320 4.2201 2.3866
O 4.3707 0.8699 4.8463
O 2.9387 3.3502 4.8463
```

M_tot: 6.0 μB/cell
Space group: P-3m1 (164)
E_tot: -7.55 eV/atom